Entry 1:
NbAlV | PBE | relaxed

Cell: 4.5471 4.5471 5.3159 Å, 90.00 90.00 60.00°
Fractional coordinates of all 6 atoms:
Nb 0.6289 0.9786 0.8643
Al 0.2955 0.6453 0.0467
Nb 0.9622 0.3119 0.7173
V 0.9619 0.3119 0.2205
Al 0.2955 0.6453 0.5348
V 0.6285 0.9786 0.3610

## Properties
space group = No. 164
M_tot = 0.00 μB/f.u.

Entry 2:
Nb8AlV2 | PBE | relaxed

Cell: 5.1468 7.5911 7.5911 Å, 41.78 82.92 82.92°
Fractional coordinates of all 11 atoms:
Nb 0.8877 0.2099 0.2099
Nb 0.3870 0.8494 0.3444
Nb 0.6130 0.6556 0.1506
V 0.6219 0.7403 0.7403
Nb 0.8901 0.5877 0.5877
Nb 0.1123 0.7901 0.7901
Al 0.0000 0.0000 0.0000
V 0.3781 0.2597 0.2597
Nb 0.1099 0.4123 0.4123
Nb 0.3870 0.3444 0.8494
Nb 0.6130 0.1506 0.6556

## Properties
space group = No. 12
M_tot = 0.00 μB/f.u.

Entry 3:
Nb2AlV9 | PBE | relaxed

Cell: 5.0882 5.0882 8.5848 Å, 72.76 72.76 60.00°
Fractional coordinates of all 12 atoms:
V 0.6674 0.6674 0.9979
V 0.4157 0.9199 0.2486
V 0.5000 0.5000 0.5000
V 0.5843 0.5843 0.7514
V 0.9199 0.4157 0.2486
Nb 0.1443 0.1443 0.5671
V 0.0801 0.5843 0.7514
V 0.4157 0.4157 0.2486
Al 0.0000 0.0000 0.0000
V 0.5843 0.0801 0.7514
Nb 0.8557 0.8557 0.4329
V 0.3326 0.3326 0.0021

## Properties
space group = No. 166
M_tot = 0.00 μB/f.u.

Entry 4:
NbAl3V8 | PBE | relaxed

Cell: 5.0040 5.0040 8.1396 Å, 90.00 90.00 120.00°
Fractional coordinates of all 12 atoms:
Nb 0.0000 0.0000 0.5636
Al 0.6667 0.3333 0.4422
V 0.1643 0.8357 0.2456
Al 0.6667 0.3333 0.0632
V 0.5008 0.4992 0.7521
V 0.6714 0.8357 0.2456
V 0.9985 0.4992 0.7521
V 0.1643 0.3286 0.2456
Al 0.0000 0.0000 0.9336
V 0.3333 0.6667 0.0026
V 0.3333 0.6667 0.5018
V 0.5008 0.0015 0.7521

## Properties
space group = No. 156
M_tot = 0.00 μB/f.u.

Entry 5:
NbAl2V | PBE | relaxed

Cell: 4.1363 3.8857 3.8857 Å, 90.00 90.00 90.00°
Fractional coordinates of all 4 atoms:
Al 0.0000 0.5000 0.0000
Nb 0.5000 0.0000 0.0000
Al 0.0000 0.0000 0.5000
V 0.5000 0.5000 0.5000

## Properties
space group = No. 123
M_tot = 0.00 μB/f.u.

Entry 6:
NbAlV | PBE | relaxed

Cell: 4.5455 4.1939 5.8423 Å, 90.00 90.00 90.00°
Fractional coordinates of all 6 atoms:
Nb 0.0000 0.5000 0.2500
V 0.0000 0.0000 0.0000
Nb 0.0000 0.5000 0.7500
Al 0.5000 0.0001 0.2500
V 0.0000 0.0000 0.5000
Al 0.5000 0.9999 0.7500

## Properties
space group = No. 47
M_tot = 0.00 μB/f.u.

Number 1: energy of formation -103 meV/atom. Number 2: energy of formation 104 meV/atom. Number 3: energy of formation 163 meV/atom. Number 4: energy of formation 25 meV/atom. Number 5: energy of formation -267 meV/atom. Number 6: energy of formation 408 meV/atom.